[1]
8
Lattice="3.867 -0.162 0.000 -1.678 6.191 0.000 0.000 0.000 9.265" Properties=species:S:1:pos:R:3 comment="PmDy2Ir PBE-GGA optimized geometry" e_form_ev_per_atom=-0.512 sg=Cmcm total_magnetization_mub_per_fu=0.0 pbc="T T T"
Dy 2.116 4.290 8.643
Dy 0.073 1.740 4.011
Ir 2.059 2.924 2.316
Dy 0.073 1.740 0.622
Ir 0.130 3.105 6.949
Dy 2.116 4.290 5.254
Pm 1.971 0.812 6.949
Pm 0.218 5.218 2.316


[2]
18
Lattice="-2.628 -1.015 4.905 7.134 -4.558 2.880 3.435 7.525 3.398" Properties=species:S:1:pos:R:3 comment="PmDy4Ir4 PBE-GGA optimized geometry" e_form_ev_per_atom=-0.632 sg=P4_2/n total_magnetization_mub_per_fu=0.0 pbc="T T T"
Ir 2.130 3.162 5.757
Ir 2.328 -0.434 3.719
Dy 0.199 1.450 4.372
Dy 4.062 -2.752 4.165
Dy 1.144 -1.489 6.124
Dy 2.959 3.578 3.030
Ir 6.178 2.605 6.411
Pm 0.000 0.000 0.000
Ir 1.643 1.411 1.872
Ir 3.229 -3.169 6.898
Dy 4.737 2.645 8.905
Ir 2.648 4.325 8.137
Dy 7.043 -0.830 4.306
Dy 4.447 4.923 5.959
Ir 8.363 1.339 5.459
Ir 5.248 -1.427 6.479
Dy 7.175 0.283 7.869
Pm 3.971 0.976 5.591


[3]
12
Lattice="5.338 0.000 0.000 2.669 4.623 0.000 2.669 1.541 8.859" Properties=species:S:1:pos:R:3 comment="Pm2DyIr9 PBE-GGA optimized geometry" e_form_ev_per_atom=-0.538 sg=R-3m total_magnetization_mub_per_fu=0.0 pbc="T T T"
Pm 8.006 4.623 3.701
Dy 0.000 0.000 0.000
Ir 5.338 3.082 4.430
Ir 4.013 3.846 6.710
Ir 8.006 4.623 8.832
Ir 5.338 4.611 2.149
Ir 6.662 2.317 2.149
Ir 5.338 1.552 6.710
Ir 2.669 1.541 0.027
Ir 6.662 3.846 6.710
Pm 2.669 1.541 5.158
Ir 4.013 2.317 2.149


[4]
8
Lattice="3.332 0.000 0.000 0.000 4.964 0.000 0.000 0.000 9.934" Properties=species:S:1:pos:R:3 comment="PmDy3Ir4 PBE-GGA optimized geometry" e_form_ev_per_atom=-0.753 sg=Pmmm total_magnetization_mub_per_fu=0.0 pbc="T T T"
Ir 0.000 0.000 0.000
Dy 1.666 0.000 2.509
Ir 0.000 0.000 4.967
Dy 1.666 2.482 4.967
Pm 1.666 2.482 0.000
Ir 0.000 2.482 2.544
Ir 0.000 2.482 7.390
Dy 1.666 0.000 7.426


[5]
12
Lattice="-3.223 1.625 -3.924 -5.281 -0.544 0.491 -3.311 8.303 2.535" Properties=species:S:1:pos:R:3 comment="PmDy2Ir9 PBE-GGA optimized geometry" e_form_ev_per_atom=-0.581 sg=R-3m total_magnetization_mub_per_fu=0.0 pbc="T T T"
Pm 0.000 0.000 0.000
Ir -5.834 6.070 1.869
Dy -8.704 4.405 -1.894
Ir -7.443 6.881 -0.090
Ir -4.373 2.503 -0.809
Ir -4.807 7.153 -0.335
Dy -3.112 4.980 0.995
Ir -7.008 2.232 -0.564
Ir -8.980 9.012 0.241
Ir -2.836 0.372 -1.139
Ir -5.908 4.692 -0.449
Ir -5.981 3.314 -2.767


[6]
16
Lattice="6.450 0.000 0.000 0.000 7.281 0.000 0.000 0.000 9.391" Properties=species:S:1:pos:R:3 comment="PmDy2Ir PBE-GGA optimized geometry" e_form_ev_per_atom=-0.547 sg=Pnma total_magnetization_mub_per_fu=0.0 pbc="T T T"
Dy 4.323 6.004 8.787
Dy 1.098 4.918 4.091
Ir 6.052 4.498 7.044
Dy 5.352 2.363 8.787
Dy 2.127 1.278 0.604
Ir 3.623 0.857 7.044
Dy 4.323 6.004 5.300
Pm 5.585 0.249 2.348
Ir 2.827 6.425 2.348
Pm 0.865 7.033 7.044
Dy 1.098 4.918 0.604
Ir 0.398 2.784 2.348
Dy 2.127 1.278 4.091
Dy 5.352 2.363 5.300
Pm 2.360 3.392 7.044
Pm 4.090 3.890 2.348


[7]
4
Lattice="-0.533 2.204 -2.825 -4.590 -1.420 -0.241 -1.254 3.544 3.001" Properties=species:S:1:pos:R:3 comment="PmDyIr2 PBE-GGA optimized geometry" e_form_ev_per_atom=-0.697 sg=P4/mmm total_magnetization_mub_per_fu=0.0 pbc="T T T"
Ir -0.627 1.772 1.501
Dy -0.267 1.102 -1.413
Pm -3.189 2.164 -0.032
Ir -2.295 -0.710 -0.120


[8]
12
Lattice="5.450 0.000 0.000 2.725 8.416 0.150 2.725 0.539 6.949" Properties=species:S:1:pos:R:3 comment="Pm7DyIr4 PBE-GGA optimized geometry" e_form_ev_per_atom=-0.285 sg=C2/m total_magnetization_mub_per_fu=0.0 pbc="T T T"
Pm 8.174 3.608 5.678
Pm 2.725 0.000 0.000
Ir 8.174 6.206 6.488
Pm 2.725 1.318 3.190
Ir 5.450 2.158 4.578
Pm 8.174 7.637 3.908
Pm 5.450 3.347 2.085
Ir 5.450 6.796 2.521
Dy 0.000 0.000 0.000
Ir 2.725 2.749 0.611
Pm 2.725 5.346 1.421
Pm 5.450 5.607 5.014


Looking at total energy for the records above, in order, we have -6.216, -7.144, -8.359, -7.503, -8.389, -6.251, -7.465, -6.394 eV per atom.